Record 1
Material: CoTeRh
Method: DFT, GGA-PBE
State: relaxed

a = 3.538 Å, b = 3.538 Å, c = 7.727 Å
α = 90.00°, β = 90.00°, γ = 90.00°
Positions (direct):
1 Co 0.000 0.000 0.000
2 Co 0.500 0.500 0.500
3 Te 0.000 0.000 0.677
4 Te 0.500 0.500 0.177
5 Rh 0.000 0.000 0.341
6 Rh 0.500 0.500 0.841

Output
The space-group type is No. 107. For the volume, the calculation gives 97 Å³ per cell. The calculation puts the total DFT energy (no corrections) at -5.687 eV/atom.

=====

Record 2
Material: CoTe3Rh
Method: DFT, GGA-PBE
State: relaxed

a = 8.397 Å, b = 8.397 Å, c = 6.927 Å
α = 97.46°, β = 97.46°, γ = 82.54°
Positions (direct):
1 Co 0.173 0.315 0.026
2 Co 0.315 0.173 0.526
3 Co 0.685 0.827 0.474
4 Co 0.827 0.685 0.974
5 Te 0.070 0.176 0.702
6 Te 0.127 0.601 0.914
7 Te 0.176 0.070 0.202
8 Te 0.313 0.450 0.375
9 Te 0.399 0.873 0.586
10 Te 0.450 0.313 0.875
11 Te 0.550 0.687 0.125
12 Te 0.601 0.127 0.414
13 Te 0.687 0.550 0.625
14 Te 0.824 0.930 0.798
15 Te 0.873 0.399 0.086
16 Te 0.930 0.824 0.298
17 Rh 0.248 0.752 0.250
18 Rh 0.396 0.604 0.750
19 Rh 0.604 0.396 0.250
20 Rh 0.752 0.248 0.750

Output
The space-group type is No. 15. For the volume, the calculation gives 477 Å³ per cell. The calculation puts the total DFT energy (no corrections) at -4.871 eV/atom.

=====

Record 3
Material: CoTe3Rh
Method: DFT, GGA-PBE
State: relaxed

a = 4.902 Å, b = 4.902 Å, c = 4.902 Å
α = 90.00°, β = 90.00°, γ = 90.00°
Positions (direct):
1 Co 0.000 0.000 0.000
2 Te 0.000 0.000 0.500
3 Te 0.000 0.500 0.000
4 Te 0.500 0.000 0.000
5 Rh 0.500 0.500 0.500

Output
The space-group type is No. 221. For the volume, the calculation gives 118 Å³ per cell. The calculation puts the total DFT energy (no corrections) at -4.059 eV/atom.

=====

Record 4
Material: CoTe6Rh
Method: DFT, GGA-PBE
State: relaxed

a = 6.488 Å, b = 6.497 Å, c = 6.508 Å
α = 60.14°, β = 60.24°, γ = 60.33°
Positions (direct):
1 Co 0.000 0.000 0.000
2 Te 0.053 0.759 0.434
3 Te 0.237 0.568 0.945
4 Te 0.434 0.053 0.764
5 Te 0.566 0.947 0.236
6 Te 0.763 0.432 0.055
7 Te 0.947 0.241 0.566
8 Rh 0.500 0.500 0.500

Output
The space-group type is No. 2. For the volume, the calculation gives 195 Å³ per cell. The calculation puts the total DFT energy (no corrections) at -4.354 eV/atom.

=====

Values for ΔE_f (raw), kcal/mol of atoms, ordered as above
4.137; -2.169; 16.557; -4.399
Values for DOS at the Fermi energy, states/eV/cell, ordered as above
10.336; 15.031; 5.654; 3.301
Values for energy relative to the lowest polymorph listed for this composition, eV per atom, ordered as above
0.126; 0.000; 0.812; 0.000